Computed, not measured: a geometry-optimized IrWAu2 structure at the PBE level of DFT.

Values from the calculation:
**Relative energy among the computed polymorphs**: 0.473 eV per atom
**Formation energy from the elements**: 2.11 eV/f.u.
**SG**: Fm-3m
**VASP energy**: -6.564 eV per atom

abc: 4.526 4.526 4.526
angles: 60.00 60.00 60.00
Element x y z (fractional)
Ir (0.000, 0.000, 0.000)
W (0.500, 0.500, 0.500)
Au (0.250, 0.250, 0.250)
Au (0.750, 0.750, 0.750)

---

Computed, not measured: a geometry-optimized IrWAu2 structure at the PBE level of DFT.

Values from the calculation:
**Relative energy among the computed polymorphs**: 0.337 eV per atom
**Formation energy from the elements**: 1.57 eV/f.u.
**SG**: R-3m
**VASP energy**: -6.699 eV per atom

abc: 9.538 9.538 9.538
angles: 17.16 17.16 17.16
Element x y z (fractional)
Ir (0.000, 0.000, 0.000)
W (0.500, 0.500, 0.500)
Au (0.249, 0.249, 0.249)
Au (0.751, 0.751, 0.751)

---

Computed, not measured: a geometry-optimized IrWAu2 structure at the PBE level of DFT.

Values from the calculation:
**Relative energy among the computed polymorphs**: 0.488 eV per atom
**Formation energy from the elements**: 2.18 eV/f.u.
**SG**: P4/mmm
**VASP energy**: -6.548 eV per atom

abc: 3.952 3.952 4.225
angles: 90.00 90.00 90.00
Element x y z (fractional)
Ir (0.000, 0.000, 0.000)
W (0.500, 0.500, 0.000)
Au (0.000, 0.500, 0.500)
Au (0.500, 0.000, 0.500)

---

Computed, not measured: a geometry-optimized IrWAu2 structure at the PBE level of DFT.

Values from the calculation:
**Relative energy among the computed polymorphs**: 0.239 eV per atom
**Formation energy from the elements**: 1.18 eV/f.u.
**SG**: C2/m
**VASP energy**: -6.797 eV per atom

abc: 5.014 5.014 4.814
angles: 99.33 99.33 33.30
Element x y z (fractional)
Ir (0.000, 0.000, 0.000)
W (0.500, 0.500, 0.500)
Au (0.247, 0.247, 0.746)
Au (0.753, 0.753, 0.254)

---

Computed, not measured: a geometry-optimized Ir2WAu structure at the PBE level of DFT.

Values from the calculation:
**Relative energy among the computed polymorphs**: 0.142 eV per atom
**Formation energy from the elements**: 0.41 eV/f.u.
**SG**: C2/m
**VASP energy**: -8.386 eV per atom

abc: 4.856 4.856 4.878
angles: 99.61 99.61 33.53
Element x y z (fractional)
Ir (0.242, 0.242, 0.233)
Ir (0.758, 0.758, 0.767)
W (0.500, 0.500, 0.000)
Au (0.000, 0.000, 0.500)

---

Computed, not measured: a geometry-optimized Ir2WAu structure at the PBE level of DFT.

Values from the calculation:
**Relative energy among the computed polymorphs**: 0.040 eV per atom
**Formation energy from the elements**: 0.00 eV/f.u.
**SG**: Pmmm
**VASP energy**: -8.488 eV per atom

abc: 2.821 3.846 5.769
angles: 90.00 90.00 90.00
Element x y z (fractional)
Ir (0.000, 0.000, 0.236)
Ir (0.000, 0.000, 0.764)
W (0.500, 0.500, 0.000)
Au (0.500, 0.500, 0.500)

---

Computed, not measured: a geometry-optimized IrWAu2 structure at the PBE level of DFT.

Values from the calculation:
**Relative energy among the computed polymorphs**: 0.371 eV per atom
**Formation energy from the elements**: 1.71 eV/f.u.
**SG**: Immm
**VASP energy**: -6.665 eV per atom

abc: 5.683 5.683 5.683
angles: 151.07 130.55 58.31
Element x y z (fractional)
Ir (0.000, 0.000, 0.000)
W (0.500, 0.500, 0.000)
Au (0.252, 0.752, 0.500)
Au (0.748, 0.248, 0.500)

---

Computed, not measured: a geometry-optimized IrWAu2 structure at the PBE level of DFT.

Values from the calculation:
**Relative energy among the computed polymorphs**: 0.877 eV per atom
**Formation energy from the elements**: 3.73 eV/f.u.
**SG**: I-42d
**VASP energy**: -6.159 eV per atom

abc: 5.867 5.867 5.867
angles: 101.66 101.66 126.57
Element x y z (fractional)
Ir (0.000, 0.000, 0.000)
Ir (0.750, 0.250, 0.500)
W (0.250, 0.750, 0.500)
W (0.500, 0.500, 0.000)
Au (0.129, 0.625, 0.004)
Au (0.375, 0.379, 0.504)
Au (0.621, 0.125, 0.996)
Au (0.875, 0.871, 0.496)

---

Computed, not measured: a geometry-optimized Ir2WAu structure at the PBE level of DFT.

Values from the calculation:
**Relative energy among the computed polymorphs**: 0.212 eV per atom
**Formation energy from the elements**: 0.69 eV/f.u.
**SG**: P4mm
**VASP energy**: -8.317 eV per atom

abc: 2.776 2.776 8.119
angles: 90.00 90.00 90.00
Element x y z (fractional)
Ir (0.000, 0.000, 0.000)
Ir (0.500, 0.500, 0.236)
W (0.000, 0.000, 0.476)
Au (0.500, 0.500, 0.736)

---

Computed, not measured: a geometry-optimized Ir2WAu structure at the PBE level of DFT.

Values from the calculation:
**Relative energy among the computed polymorphs**: 0.533 eV per atom
**Formation energy from the elements**: 1.97 eV/f.u.
**SG**: F-43m
**VASP energy**: -7.996 eV per atom

abc: 4.479 4.479 4.479
angles: 60.00 60.00 60.00
Element x y z (fractional)
Ir (0.000, 0.000, 0.000)
Ir (0.250, 0.250, 0.250)
W (0.750, 0.750, 0.750)
Au (0.500, 0.500, 0.500)

---

Computed, not measured: a geometry-optimized IrWAu2 structure at the PBE level of DFT.

Values from the calculation:
**Relative energy among the computed polymorphs**: 0.351 eV per atom
**Formation energy from the elements**: 1.63 eV/f.u.
**SG**: P2/m
**VASP energy**: -6.685 eV per atom

abc: 2.847 4.973 4.737
angles: 90.00 90.92 90.00
Element x y z (fractional)
Ir (0.000, 0.000, 0.000)
W (0.500, 0.000, 0.500)
Au (0.244, 0.500, 0.749)
Au (0.756, 0.500, 0.251)

---

Computed, not measured: a geometry-optimized IrWAu2 structure at the PBE level of DFT.

Values from the calculation:
**Relative energy among the computed polymorphs**: 0.597 eV per atom
**Formation energy from the elements**: 2.61 eV/f.u.
**SG**: P4/mmm
**VASP energy**: -6.440 eV per atom

abc: 4.742 4.742 2.944
angles: 90.00 90.00 90.00
Element x y z (fractional)
Ir (0.000, 0.000, 0.000)
W (0.500, 0.500, 0.000)
Au (0.000, 0.500, 0.500)
Au (0.500, 0.000, 0.500)

---

Which formula does entry 8 have?
IrWAu2

---

What is the formula in the twelfth record?
IrWAu2